Density functional theory data (PBE+U) for a geometry-optimized Ba3PuV2O9 structure.

Properties
* crystal system: trigonal
* V: 14.1 Å³/atom
* raw total energy: -118.59 eV per cell

```
15
Lattice="5.845 0.000 0.000 -2.923 5.062 0.000 0.000 0.000 7.161" Properties=species:S:1:pos:R:3 pbc="T T T"
Ba 0.000 0.000 0.000
Ba 0.000 3.375 4.861
Ba 2.923 1.687 2.300
Pu 0.000 0.000 3.580
V 0.000 3.375 1.107
V 2.923 1.687 6.053
O -1.461 2.531 0.000
O 0.000 1.747 2.311
O -1.409 4.188 2.311
O 1.513 0.874 4.850
O 2.923 0.000 0.000
O 1.461 2.531 0.000
O 1.409 4.188 2.311
O 4.332 0.874 4.850
O 2.923 3.315 4.850
```